## a
# PBE-GGA Pr2Si3Rh2, optimized geometry
data_Pr2Si3Rh2
_space_group_name_H-M_alt 'C 1 2/m 1'
_space_group_IT_number 12
_space_group_name_Hall '-C 2y'
_cell_length_a 11.022
_cell_length_b 4.029
_cell_length_c 7.075
_cell_angle_alpha 90.00
_cell_angle_beta 120.57
_cell_angle_gamma 90.00
loop_
_atom_site_label
_atom_site_type_symbol
_atom_site_fract_x
_atom_site_fract_y
_atom_site_fract_z
_atom_site_occupancy
Pr1 Pr 0.138 0.000 0.263 1
Si1 Si 0.000 0.500 0.500 1
Si2 Si 0.146 0.500 0.933 1
Rh1 Rh 0.132 0.000 0.719 1
# - ρ (g cm⁻³) = 7.02



## b
# PBE-GGA Pr2Si3Rh2, optimized geometry
data_Pr2Si3Rh2
_space_group_name_H-M_alt 'C m c m'
_space_group_IT_number 63
_space_group_name_Hall '-C 2c 2'
_cell_length_a 4.260
_cell_length_b 18.025
_cell_length_c 6.959
_cell_angle_alpha 90.00
_cell_angle_beta 90.00
_cell_angle_gamma 90.00
loop_
_atom_site_label
_atom_site_type_symbol
_atom_site_fract_x
_atom_site_fract_y
_atom_site_fract_z
_atom_site_occupancy
Pr1 Pr 0.000 0.056 0.250 1
Pr2 Pr 0.000 0.157 0.750 1
Si1 Si 0.000 0.223 0.250 1
Si2 Si 0.000 0.439 0.072 1
Rh1 Rh 0.000 0.308 0.548 1
# - ρ (g cm⁻³) = 7.11



Most stable to least stable, the ends of the list are b and a.



## a
# PBE-GGA Pr3SmRh, optimized geometry
data_Pr3SmRh
_space_group_name_H-M_alt 'P 1'
_space_group_IT_number 1
_space_group_name_Hall 'P 1'
_cell_length_a 5.735
_cell_length_b 7.528
_cell_length_c 7.540
_cell_angle_alpha 102.49
_cell_angle_beta 90.01
_cell_angle_gamma 90.05
loop_
_atom_site_label
_atom_site_type_symbol
_atom_site_fract_x
_atom_site_fract_y
_atom_site_fract_z
_atom_site_occupancy
Pr1 Pr 0.000 0.000 0.000 1
Pr2 Pr 0.000 0.042 0.465 1
Pr3 Pr 0.000 0.509 0.342 1
Pr4 Pr 0.001 0.465 0.863 1
Pr5 Pr 0.500 0.236 0.275 1
Pr6 Pr 0.501 0.633 0.694 1
Sm1 Sm 0.500 0.116 0.741 1
Sm2 Sm 0.500 0.765 0.226 1
Rh1 Rh 0.002 0.766 0.664 1
Rh2 Rh 0.501 0.433 0.996 1
# - ρ (g cm⁻³) = 7.06



## b
# PBE-GGA Pr3SmRh, optimized geometry
data_Pr3SmRh
_space_group_name_H-M_alt 'P m -3 m'
_space_group_IT_number 221
_space_group_name_Hall '-P 4 2 3'
_cell_length_a 5.625
_cell_length_b 5.625
_cell_length_c 5.625
_cell_angle_alpha 90.00
_cell_angle_beta 90.00
_cell_angle_gamma 90.00
loop_
_atom_site_label
_atom_site_type_symbol
_atom_site_fract_x
_atom_site_fract_y
_atom_site_fract_z
_atom_site_occupancy
Pr1 Pr 0.000 0.000 0.500 1
Sm1 Sm 0.500 0.500 0.500 1
Rh1 Rh 0.000 0.000 0.000 1
# - ρ (g cm⁻³) = 6.31



Most stable to least stable, the ends of the list are a and b.



## a
# PBE-GGA PrSmRh, optimized geometry
data_PrSmRh
_space_group_name_H-M_alt 'P 3 m 1'
_space_group_IT_number 156
_space_group_name_Hall 'P 3 -2"'
_cell_length_a 4.1273
_cell_length_b 4.1273
_cell_length_c 6.3971
_cell_angle_alpha 90.00
_cell_angle_beta 90.00
_cell_angle_gamma 120.00
loop_
_atom_site_label
_atom_site_type_symbol
_atom_site_fract_x
_atom_site_fract_y
_atom_site_fract_z
_atom_site_occupancy
Pr1 Pr 0.0000 0.0000 0.0000 1
Sm1 Sm 0.3333 0.6667 0.4767 1
Rh1 Rh 0.6667 0.3333 0.2449 1
# - ρ (g cm⁻³) = 6.94



## b
# PBE-GGA PrSmRh, optimized geometry
data_PrSmRh
_space_group_name_H-M_alt 'C 1 2/m 1'
_space_group_IT_number 12
_space_group_name_Hall '-C 2y'
_cell_length_a 12.704
_cell_length_b 3.844
_cell_length_c 8.467
_cell_angle_alpha 90.00
_cell_angle_beta 125.41
_cell_angle_gamma 90.00
loop_
_atom_site_label
_atom_site_type_symbol
_atom_site_fract_x
_atom_site_fract_y
_atom_site_fract_z
_atom_site_occupancy
Pr1 Pr 0.168 0.000 0.083 1
Sm1 Sm 0.083 0.500 0.393 1
Rh1 Rh 0.123 0.000 0.701 1
# - ρ (g cm⁻³) = 7.77



Most stable to least stable, the ends of the list are b and a.



## a
# PBE-GGA PrSmRh, optimized geometry
data_PrSmRh
_space_group_name_H-M_alt 'F -4 3 m'
_space_group_IT_number 216
_space_group_name_Hall 'F -4 2 3'
_cell_length_a 6.993
_cell_length_b 6.993
_cell_length_c 6.993
_cell_angle_alpha 90.00
_cell_angle_beta 90.00
_cell_angle_gamma 90.00
loop_
_atom_site_label
_atom_site_type_symbol
_atom_site_fract_x
_atom_site_fract_y
_atom_site_fract_z
_atom_site_occupancy
Pr1 Pr 0.000 0.000 0.000 1
Sm1 Sm 0.000 0.000 0.500 1
Rh1 Rh 0.250 0.250 0.250 1
# - ρ (g cm⁻³) = 7.66



## b
# PBE-GGA PrSmRh, optimized geometry
data_PrSmRh
_space_group_name_H-M_alt 'I 4 m m'
_space_group_IT_number 107
_space_group_name_Hall 'I 4 -2'
_cell_length_a 3.557
_cell_length_b 3.557
_cell_length_c 13.160
_cell_angle_alpha 90.00
_cell_angle_beta 90.00
_cell_angle_gamma 90.00
loop_
_atom_site_label
_atom_site_type_symbol
_atom_site_fract_x
_atom_site_fract_y
_atom_site_fract_z
_atom_site_occupancy
Pr1 Pr 0.000 0.000 0.000 1
Sm1 Sm 0.000 0.000 0.256 1
Rh1 Rh 0.000 0.000 0.634 1
# - ρ (g cm⁻³) = 7.86



Most stable to least stable, the ends of the list are a and b.



## a
# PBE-GGA PrSmRh, optimized geometry
data_PrSmRh
_space_group_name_H-M_alt 'A m m 2'
_space_group_IT_number 38
_space_group_name_Hall 'A 2 -2'
_cell_length_a 4.912
_cell_length_b 12.990
_cell_length_c 7.524
_cell_angle_alpha 90.00
_cell_angle_beta 90.00
_cell_angle_gamma 90.00
loop_
_atom_site_label
_atom_site_type_symbol
_atom_site_fract_x
_atom_site_fract_y
_atom_site_fract_z
_atom_site_occupancy
Pr1 Pr 0.000 0.000 0.000 1
Pr2 Pr 0.000 0.201 0.601 1
Sm1 Sm 0.500 0.000 0.670 1
Sm2 Sm 0.500 0.134 0.267 1
Rh1 Rh 0.000 0.000 0.401 1
Rh2 Rh 0.500 0.167 0.901 1
# - ρ (g cm⁻³) = 8.18



## b
# PBE-GGA PrSmRh, optimized geometry
data_PrSmRh
_space_group_name_H-M_alt 'P 1 21/c 1'
_space_group_IT_number 14
_space_group_name_Hall '-P 2ybc'
_cell_length_a 7.058
_cell_length_b 6.138
_cell_length_c 10.584
_cell_angle_alpha 90.00
_cell_angle_beta 128.99
_cell_angle_gamma 90.00
loop_
_atom_site_label
_atom_site_type_symbol
_atom_site_fract_x
_atom_site_fract_y
_atom_site_fract_z
_atom_site_occupancy
Pr1 Pr 0.185 0.135 0.382 1
Sm1 Sm 0.335 0.619 0.631 1
Rh1 Rh 0.335 0.671 0.367 1
# - ρ (g cm⁻³) = 7.35



Most stable to least stable, the ends of the list are a and b.



## a
# PBE-GGA Pr2Sm2Rh3, optimized geometry
data_Pr2Sm2Rh3
_space_group_name_H-M_alt 'P -1'
_space_group_IT_number 2
_space_group_name_Hall '-P 1'
_cell_length_a 4.209
_cell_length_b 6.887
_cell_length_c 7.132
_cell_angle_alpha 98.79
_cell_angle_beta 90.04
_cell_angle_gamma 107.77
loop_
_atom_site_label
_atom_site_type_symbol
_atom_site_fract_x
_atom_site_fract_y
_atom_site_fract_z
_atom_site_occupancy
Pr1 Pr 0.134 0.266 0.363 1
Sm1 Sm 0.373 0.745 0.103 1
Rh1 Rh 0.000 0.000 0.000 1
Rh2 Rh 0.236 0.473 0.745 1
# - ρ (g cm⁻³) = 7.62



## b
# PBE-GGA Pr2Sm2Rh3, optimized geometry
data_Pr2Sm2Rh3
_space_group_name_H-M_alt 'I 21 3'
_space_group_IT_number 199
_space_group_name_Hall 'I 2b 2c 3'
_cell_length_a 8.852
_cell_length_b 8.852
_cell_length_c 8.852
_cell_angle_alpha 90.00
_cell_angle_beta 90.00
_cell_angle_gamma 90.00
loop_
_atom_site_label
_atom_site_type_symbol
_atom_site_fract_x
_atom_site_fract_y
_atom_site_fract_z
_atom_site_occupancy
Pr1 Pr 0.189 0.189 0.189 1
Sm1 Sm 0.058 0.442 0.558 1
Rh1 Rh 0.000 0.250 0.856 1
# - ρ (g cm⁻³) = 8.54



Most stable to least stable, the ends of the list are b and a.



## a
# PBE-GGA Pr2SmRh3, optimized geometry
data_Pr2SmRh3
_space_group_name_H-M_alt 'C m m m'
_space_group_IT_number 65
_space_group_name_Hall '-C 2 2'
_cell_length_a 5.050
_cell_length_b 15.144
_cell_length_c 6.999
_cell_angle_alpha 90.00
_cell_angle_beta 90.00
_cell_angle_gamma 90.00
loop_
_atom_site_label
_atom_site_type_symbol
_atom_site_fract_x
_atom_site_fract_y
_atom_site_fract_z
_atom_site_occupancy
Pr1 Pr 0.000 0.000 0.000 1
Pr2 Pr 0.000 0.000 0.500 1
Pr3 Pr 0.000 0.333 0.000 1
Sm1 Sm 0.000 0.333 0.500 1
Rh1 Rh 0.000 0.169 0.256 1
Rh2 Rh 0.000 0.500 0.253 1
# - ρ (g cm⁻³) = 9.19



## b
# PBE-GGA Pr2SmRh3, optimized geometry
data_Pr2SmRh3
_space_group_name_H-M_alt 'I m m m'
_space_group_IT_number 71
_space_group_name_Hall '-I 2 2'
_cell_length_a 4.123
_cell_length_b 5.805
_cell_length_c 12.231
_cell_angle_alpha 90.00
_cell_angle_beta 90.00
_cell_angle_gamma 90.00
loop_
_atom_site_label
_atom_site_type_symbol
_atom_site_fract_x
_atom_site_fract_y
_atom_site_fract_z
_atom_site_occupancy
Pr1 Pr 0.000 0.000 0.168 1
Sm1 Sm 0.000 0.000 0.500 1
Rh1 Rh 0.000 0.500 0.161 1
Rh2 Rh 0.000 0.500 0.500 1
# - ρ (g cm⁻³) = 8.41



Most stable to least stable, the ends of the list are a and b.



## a
# PBE-GGA Pr2SmRh2, optimized geometry
data_Pr2SmRh2
_space_group_name_H-M_alt 'P 4/m b m'
_space_group_IT_number 127
_space_group_name_Hall '-P 4 2ab'
_cell_length_a 7.799
_cell_length_b 7.799
_cell_length_c 4.157
_cell_angle_alpha 90.00
_cell_angle_beta 90.00
_cell_angle_gamma 90.00
loop_
_atom_site_label
_atom_site_type_symbol
_atom_site_fract_x
_atom_site_fract_y
_atom_site_fract_z
_atom_site_occupancy
Pr1 Pr 0.162 0.338 0.000 1
Sm1 Sm 0.000 0.000 0.500 1
Rh1 Rh 0.141 0.641 0.500 1
# - ρ (g cm⁻³) = 8.38



## b
# PBE-GGA Pr2SmRh2, optimized geometry
data_Pr2SmRh2
_space_group_name_H-M_alt 'C m c 21'
_space_group_IT_number 36
_space_group_name_Hall 'C 2c -2'
_cell_length_a 4.084
_cell_length_b 17.687
_cell_length_c 7.448
_cell_angle_alpha 90.00
_cell_angle_beta 90.00
_cell_angle_gamma 90.00
loop_
_atom_site_label
_atom_site_type_symbol
_atom_site_fract_x
_atom_site_fract_y
_atom_site_fract_z
_atom_site_occupancy
Pr1 Pr 0.000 0.032 0.000 1
Pr2 Pr 0.000 0.192 0.722 1
Sm1 Sm 0.000 0.381 0.838 1
Rh1 Rh 0.000 0.191 0.140 1
Rh2 Rh 0.000 0.447 0.197 1
# - ρ (g cm⁻³) = 7.88



Most stable to least stable, the ends of the list are a and b.